Version one
8
Lattice="4.097 0.000 0.000 0.000 4.097 0.000 0.000 0.000 8.175" Properties=species:S:1:pos:R:3 comment="PBE ZnTeW2, optimized geometry" m_tot_mub_per_cell=0.00 spacegroup="No. 119" dos_ef_per_ev_cell=6.57 pbc="T T T"
Zn 0.000 0.000 0.000
Zn 2.048 2.048 4.087
Te 0.000 2.048 6.131
Te 2.048 0.000 2.044
W 0.000 0.000 4.087
W 0.000 2.048 2.044
W 2.048 0.000 6.131
W 2.048 2.048 0.000

Version two
8
Lattice="3.270 0.000 0.000 0.000 4.859 0.000 0.000 0.000 9.618" Properties=species:S:1:pos:R:3 comment="PBE ZnTeW2, optimized geometry" m_tot_mub_per_cell=0.00 spacegroup="No. 35" dos_ef_per_ev_cell=6.51 pbc="T T T"
Zn 0.000 0.000 0.000
Zn 1.635 2.430 0.000
Te 0.000 2.430 6.671
Te 1.635 0.000 6.671
W 0.000 0.000 4.178
W 0.000 2.430 2.158
W 1.635 0.000 2.158
W 1.635 2.430 4.178

Version three
8
Lattice="5.643 0.000 0.000 0.000 8.932 0.000 -1.078 0.000 2.780" Properties=species:S:1:pos:R:3 comment="PBE ZnTeW2, optimized geometry" m_tot_mub_per_cell=0.00 spacegroup="No. 12" dos_ef_per_ev_cell=5.86 pbc="T T T"
Zn 0.000 0.000 0.000
Zn 2.821 4.466 0.000
Te 0.000 4.466 0.000
Te 2.821 0.000 0.000
W 0.872 2.233 1.390
W 0.872 6.699 1.390
W 3.693 2.233 1.390
W 3.693 6.699 1.390

Most stable one: version two, least stable one: version three.

Version one
8
Lattice="3.301 0.000 0.000 0.000 4.660 0.000 0.000 0.000 9.057" Properties=species:S:1:pos:R:3 comment="PBE ZnTeW2, optimized geometry" m_tot_mub_per_cell=0.00 spacegroup="No. 71" dos_ef_per_ev_cell=6.07 pbc="T T T"
Zn 0.000 0.000 0.000
Zn 1.651 2.330 4.529
Te 0.000 0.000 4.529
Te 1.651 2.330 0.000
W 0.000 2.330 2.315
W 0.000 2.330 6.742
W 1.651 0.000 2.213
W 1.651 0.000 6.844

Version two
4
Lattice="3.344 0.000 0.000 0.000 3.344 0.000 0.000 0.000 6.182" Properties=species:S:1:pos:R:3 comment="PBE ZnTeW2, optimized geometry" m_tot_mub_per_cell=0.00 spacegroup="No. 123" dos_ef_per_ev_cell=3.48 pbc="T T T"
Zn 0.000 0.000 0.000
Te 0.000 0.000 3.091
W 1.672 1.672 1.293
W 1.672 1.672 4.889

Most stable one: version two, least stable one: version one.

Version one
16
Lattice="3.992 0.000 0.000 0.000 3.992 0.000 0.000 0.000 19.144" Properties=species:S:1:pos:R:3 comment="PBE ZnTeW2, optimized geometry" m_tot_mub_per_cell=0.00 spacegroup="No. 122" dos_ef_per_ev_cell=10.48 pbc="T T T"
Zn 0.000 0.000 0.000
Zn 0.000 1.996 4.786
Zn 1.996 0.000 14.358
Zn 1.996 1.996 9.572
Te 0.000 0.000 9.572
Te 0.000 1.996 14.358
Te 1.996 0.000 4.786
Te 1.996 1.996 0.000
W 0.816 0.998 2.393
W 0.998 2.812 7.179
W 0.998 3.176 16.751
W 1.180 0.998 11.965
W 2.812 2.994 11.965
W 2.994 0.816 16.751
W 2.994 1.180 7.179
W 3.176 2.994 2.393

Version two
8
Lattice="9.241 0.000 0.000 0.000 3.292 0.000 -0.573 0.000 4.683" Properties=species:S:1:pos:R:3 comment="PBE ZnTeW2, optimized geometry" m_tot_mub_per_cell=0.00 spacegroup="No. 12" dos_ef_per_ev_cell=4.42 pbc="T T T"
Zn 0.000 0.000 0.000
Zn 4.620 1.646 0.000
Te -0.287 1.646 2.342
Te 4.334 0.000 2.342
W 2.168 1.646 1.021
W 1.879 0.000 3.662
W 6.788 0.000 1.021
W 6.499 1.646 3.662

Most stable one: version two, least stable one: version one.

Version one
4
Lattice="3.328 0.000 0.000 0.000 3.328 0.000 0.000 0.000 6.303" Properties=species:S:1:pos:R:3 comment="PBE ZnTeW2, optimized geometry" m_tot_mub_per_cell=0.00 spacegroup="No. 99" dos_ef_per_ev_cell=1.84 pbc="T T T"
Zn 0.000 0.000 0.000
Te 1.664 1.664 1.889
W 0.000 0.000 3.491
W 1.664 1.664 5.014

Version two
8
Lattice="3.184 0.000 0.000 0.000 4.712 0.000 0.000 0.000 9.552" Properties=species:S:1:pos:R:3 comment="PBE ZnTeW2, optimized geometry" m_tot_mub_per_cell=0.00 spacegroup="No. 65" dos_ef_per_ev_cell=8.47 pbc="T T T"
Zn 0.000 0.000 0.000
Zn 1.592 2.356 0.000
Te 0.000 0.000 4.776
Te 1.592 2.356 4.776
W 0.000 2.356 2.201
W 0.000 2.356 7.352
W 1.592 0.000 2.201
W 1.592 0.000 7.352

Most stable one: version one, least stable one: version two.

Version one
4
Lattice="3.298 0.000 0.000 0.000 4.556 0.000 0.000 0.000 4.655" Properties=species:S:1:pos:R:3 comment="PBE ZnTeW2, optimized geometry" m_tot_mub_per_cell=0.00 spacegroup="No. 47" dos_ef_per_ev_cell=3.62 pbc="T T T"
Zn 0.000 0.000 0.000
Te 1.649 0.000 2.327
W 0.000 2.278 2.327
W 1.649 2.278 0.000

Version two
4
Lattice="3.140 0.000 0.000 0.000 4.693 0.000 -1.433 0.000 5.046" Properties=species:S:1:pos:R:3 comment="PBE ZnTeW2, optimized geometry" m_tot_mub_per_cell=0.00 spacegroup="No. 6" dos_ef_per_ev_cell=1.82 pbc="T T T"
Zn 0.000 0.000 0.000
Te 0.347 2.347 1.279
W 0.200 0.000 2.877
W 1.889 2.347 3.446

Most stable one: version two, least stable one: version one.

Version one
5
Lattice="4.636 0.000 0.000 0.000 4.636 0.000 0.000 0.000 4.636" Properties=species:S:1:pos:R:3 comment="PBE ZnTeW3, optimized geometry" m_tot_mub_per_cell=0.00 spacegroup="No. 221" dos_ef_per_ev_cell=6.26 pbc="T T T"
Zn 0.000 0.000 0.000
Te 2.318 2.318 2.318
W 0.000 0.000 2.318
W 0.000 2.318 0.000
W 2.318 0.000 0.000

Version two
5
Lattice="4.880 0.000 0.000 0.000 4.880 0.000 0.000 0.000 4.880" Properties=species:S:1:pos:R:3 comment="PBE ZnTeW3, optimized geometry" m_tot_mub_per_cell=0.00 spacegroup="No. 221" dos_ef_per_ev_cell=6.65 pbc="T T T"
Zn 0.000 0.000 0.000
Te 2.440 2.440 2.440
W 0.000 2.440 2.440
W 2.440 0.000 2.440
W 2.440 2.440 0.000

Most stable one: version one, least stable one: version two.

Version one
12
Lattice="3.220 0.000 0.000 -1.610 2.789 0.000 0.000 0.000 26.128" Properties=species:S:1:pos:R:3 comment="PBE ZrTeW2, optimized geometry" m_tot_mub_per_cell=0.00 spacegroup="No. 166" dos_ef_per_ev_cell=11.25 pbc="T T T"
Zr 0.000 0.000 0.000
Zr 0.000 1.859 17.419
Zr 1.610 0.930 8.709
Te 0.000 0.000 13.064
Te 0.000 1.859 4.355
Te 1.610 0.930 21.774
W 0.000 0.000 6.487
W 0.000 0.000 19.642
W 0.000 1.859 10.932
W 0.000 1.859 23.906
W 1.610 0.930 2.223
W 1.610 0.930 15.196

Version two
8
Lattice="3.442 0.000 0.000 0.000 5.076 0.000 0.000 0.000 8.891" Properties=species:S:1:pos:R:3 comment="PBE ZrTeW2, optimized geometry" m_tot_mub_per_cell=0.00 spacegroup="No. 65" dos_ef_per_ev_cell=7.09 pbc="T T T"
Zr 0.000 0.000 0.000
Zr 1.721 2.538 0.000
Te 0.000 0.000 4.446
Te 1.721 2.538 4.446
W 0.000 2.538 2.233
W 0.000 2.538 6.659
W 1.721 0.000 2.233
W 1.721 0.000 6.659

Most stable one: version one, least stable one: version two.

Version one
4
Lattice="3.561 0.000 0.000 0.000 3.561 0.000 0.000 0.000 5.985" Properties=species:S:1:pos:R:3 comment="PBE ZrTeW2, optimized geometry" m_tot_mub_per_cell=0.00 spacegroup="No. 123" dos_ef_per_ev_cell=3.56 pbc="T T T"
Zr 0.000 0.000 0.000
Te 0.000 0.000 2.992
W 1.780 1.780 1.479
W 1.780 1.780 4.505

Version two
4
Lattice="3.167 0.000 0.000 0.000 4.346 0.000 -0.701 0.000 5.688" Properties=species:S:1:pos:R:3 comment="PBE ZrTeW2, optimized geometry" m_tot_mub_per_cell=0.00 spacegroup="No. 6" dos_ef_per_ev_cell=2.58 pbc="T T T"
Zr 0.000 0.000 0.000
Te 1.599 2.173 1.244
W 0.577 2.173 4.105
W 1.524 0.000 3.022

Version three
8
Lattice="3.932 0.000 0.000 0.000 3.932 0.000 0.000 0.000 9.821" Properties=species:S:1:pos:R:3 comment="PBE ZrTeW2, optimized geometry" m_tot_mub_per_cell=0.00 spacegroup="No. 139" dos_ef_per_ev_cell=4.04 pbc="T T T"
Zr 0.000 0.000 0.000
Zr 1.966 1.966 4.911
Te 0.000 0.000 4.911
Te 1.966 1.966 0.000
W 0.000 1.966 2.455
W 0.000 1.966 7.366
W 1.966 0.000 2.455
W 1.966 0.000 7.366

Most stable one: version two, least stable one: version one.